# PBE Pu3UTl4Se8, relaxed
# * uncorrected energy: -326.31 eV per cell
# * E_form (uncorrected): -1071.6 meV per atom
# * total magnetic moment: 18.00 μB per formula unit
data_Pu3UTl4Se8
_space_group_name_H-M_alt 'R -3 m'
_space_group_IT_number 166
_space_group_name_Hall '-R 3 2"'
_cell_length_a 8.4727
_cell_length_b 8.4727
_cell_length_c 23.1814
_cell_angle_alpha 90.00
_cell_angle_beta 90.00
_cell_angle_gamma 120.00
loop_
_atom_site_label
_atom_site_type_symbol
_atom_site_fract_x
_atom_site_fract_y
_atom_site_fract_z
Pu1 Pu 0.0000 0.5000 0.0000
U1 U 0.0000 0.0000 0.0000
Tl1 Tl 0.0000 0.0000 0.5000
Tl2 Tl 0.0000 0.5000 0.5000
Se1 Se 0.0000 0.0000 0.2655
Se2 Se 0.0068 0.5034 0.7343